Record 1
Material: TbNdDy4Tm2
Method: DFT, GGA-PBE
State: optimized geometry

Results
Magnetization = 12.3 μB per cell
Energy = -4.157 eV per atom
Formation enthalpy at 0 K = 0.44 eV/atom

a b c (Å): 13.556 13.237 6.772
angles (deg): 90.00 119.97 90.00
Space group C2/c (No. 15)
Symmetry-distinct sites (fractional):
Tb1 0.000 0.000 0.000 (multiplicity 4)
Nd1 0.250 0.250 0.000 (multiplicity 4)
Dy1 0.000 0.252 0.002 (multiplicity 8)
Dy2 0.248 0.497 0.499 (multiplicity 8)
Tm1 0.000 0.500 0.000 (multiplicity 4)
Tm2 0.250 0.250 0.500 (multiplicity 4)

=====

Record 2
Material: TbNdDyTm3
Method: DFT, GGA-PBE
State: optimized geometry

Results
Magnetization = 0.0 μB per cell
Energy = -4.447 eV per atom
Formation enthalpy at 0 K = 0.12 eV/atom

a b c (Å): 5.811 11.244 11.633
angles (deg): 90.00 90.00 90.00
Space group Cmcm (No. 63)
Symmetry-distinct sites (fractional):
Tb1 0.000 0.000 0.000 (multiplicity 4)
Nd1 0.000 0.493 0.250 (multiplicity 4)
Dy1 0.000 0.174 0.250 (multiplicity 4)
Tm1 0.000 0.166 0.750 (multiplicity 4)
Tm2 0.000 0.328 0.506 (multiplicity 8)

=====

Record 3
Material: TbNd4DyTm2
Method: DFT, GGA-PBE
State: optimized geometry

Results
Magnetization = 0.0 μB per cell
Energy = -4.639 eV per atom
Formation enthalpy at 0 K = 0.02 eV/atom

a b c (Å): 5.116 5.138 10.021
angles (deg): 90.00 90.00 90.00
Space group Pmmm (No. 47)
Symmetry-distinct sites (fractional):
Tb1 0.000 0.000 0.000 (multiplicity 1)
Nd1 0.000 0.500 0.250 (multiplicity 2)
Nd2 0.500 0.000 0.251 (multiplicity 2)
Dy1 0.500 0.500 0.500 (multiplicity 1)
Tm1 0.000 0.000 0.500 (multiplicity 1)
Tm2 0.500 0.500 0.000 (multiplicity 1)

=====

Record 4
Material: Tb3Nd2Dy6Tm
Method: DFT, GGA-PBE
State: optimized geometry

Results
Magnetization = 0.0 μB per cell
Energy = -4.611 eV per atom
Formation enthalpy at 0 K = 0.02 eV/atom

a b c (Å): 6.174 10.686 11.813
angles (deg): 90.00 99.98 90.00
Space group C2/m (No. 12)
Symmetry-distinct sites (fractional):
Tb1 0.000 0.000 0.000 (multiplicity 2)
Tb2 0.000 0.334 0.000 (multiplicity 4)
Nd1 0.000 0.166 0.500 (multiplicity 4)
Dy1 0.248 0.500 0.248 (multiplicity 4)
Dy2 0.250 0.166 0.248 (multiplicity 8)
Tm1 0.000 0.500 0.500 (multiplicity 2)